# 1
VASP calculation (PBE-GGA) on MgBe2B after structural relaxation.

a = 5.530 Å, b = 3.044 Å, c = 5.883 Å
α = 90.00°, β = 111.57°, γ = 90.00°
Element x y z (fractional)
B: 0.974 0.750 0.420
Mg: 0.506 0.250 0.759
Be: 0.120 0.250 0.307
Mg: 0.494 0.750 0.241
B: 0.026 0.250 0.580
Be: 0.894 0.750 0.065
Be: 0.106 0.250 0.935
Be: 0.880 0.750 0.693

Output
- symmetry = P2_1/m
- energy of formation (eV/atom) = 0.09
- energy above the most stable polymorph in this dataset (kJ per mole of atoms) = 7.3
- ρ (g cm⁻³) = 1.92
- total DFT energy (no corrections) (eV per atom) = -3.8363

***

# 2
VASP calculation (PBE-GGA) on Cs2USb2Se6 after structural relaxation.

a = 7.534 Å, b = 9.436 Å, c = 7.854 Å
α = 117.78°, β = 90.00°, γ = 113.53°
Element x y z (fractional)
Se: 0.339 0.678 0.437
Se: 0.661 0.322 0.563
Cs: 0.748 0.495 0.224
Sb: 0.038 0.076 0.213
Se: 0.175 0.859 0.197
Se: 0.684 0.859 0.197
U: 0.500 0.000 0.500
Se: 0.825 0.141 0.803
Se: 0.316 0.141 0.803
Cs: 0.252 0.505 0.776
Sb: 0.962 0.924 0.787

Output
- raw formation energy (kJ per mole of atoms) = -74.6
- symmetry = C2/m
- ρ (g cm⁻³) = 4.60
- total DFT energy (no corrections) (eV per atom) = -4.6048

***

# 3
VASP calculation (PBE-GGA) on LiCuRh2 after structural relaxation.

a = 5.093 Å, b = 5.093 Å, c = 2.639 Å
α = 76.25°, β = 76.25°, γ = 117.54°
Element x y z (fractional)
Rh: 0.500 0.500 0.000
Rh: 0.000 0.000 0.000
Li: 0.000 0.500 0.500
Cu: 0.500 0.000 0.500

Output
- symmetry = C2/m
- energy of formation (eV/atom) = -0.02
- ρ (g cm⁻³) = 8.51
- total DFT energy (no corrections) (eV per atom) = -5.2016

***

# 4
VASP calculation (PBE-GGA) on NiPdRh3 after structural relaxation.

a = 4.442 Å, b = 4.442 Å, c = 4.442 Å
α = 90.00°, β = 90.00°, γ = 90.00°
Each line ends with the local moment (μB).
Element x y z (fractional)
Rh: 0.500 0.000 0.000  0.74
Pd: 0.500 0.500 0.500  0.35
Rh: 0.000 0.000 0.500  1.25
Rh: 0.000 0.500 0.000  0.81
Ni: 0.000 0.000 0.000  0.83

Output
- symmetry = Pm-3m
- energy of formation (eV/atom) = 1.13
- energy above the most stable polymorph in this dataset (kJ per mole of atoms) = 0.0
- ρ (g cm⁻³) = 8.98
- total DFT energy (no corrections) (eV per atom) = -5.4731

***

# 5
VASP calculation (PBE-GGA) on Tm2MgAu4 after structural relaxation.

a = 4.720 Å, b = 4.720 Å, c = 8.643 Å
α = 74.15°, β = 74.15°, γ = 60.00°
Element x y z (fractional)
Au: 0.872 0.872 0.385
Mg: 0.000 0.000 0.000
Tm: 0.753 0.753 0.740
Au: 0.128 0.128 0.615
Tm: 0.247 0.247 0.260
Au: 0.634 0.634 0.098
Au: 0.366 0.366 0.902

Output
- symmetry = R-3m
- energy of formation (eV/atom) = -0.67
- ρ (g cm⁻³) = 12.07
- total DFT energy (no corrections) (eV per atom) = -4.0444

***

# 6
VASP calculation (PBE-GGA) on Pr2NdPbO after structural relaxation.

a = 4.989 Å, b = 5.056 Å, c = 5.056 Å
α = 90.00°, β = 90.00°, γ = 90.00°
Element x y z (fractional)
Nd: 0.500 0.000 0.000
O: 0.000 0.000 0.000
Pb: 0.500 0.500 0.500
Pr: 0.000 0.500 0.000
Pr: 0.000 0.000 0.500

Output
- raw formation energy (kJ per mole of atoms) = -131.5
- symmetry = P4/mmm
- ρ (g cm⁻³) = 8.45
- total DFT energy (no corrections) (eV per atom) = -5.9614